# 1
Here is a PBEsol-optimized structure of CdNi2H from Alexandria. Energies are from SCAN.

## Properties
Total moment = 0.0 μB per cell
Uncorrected energy = -16.50 eV/atom
Calculated density = 8.61 g/cm3

The structure in extended XYZ format:
```
8
Lattice="0.000 3.544 3.544 3.544 0.000 3.544 3.544 3.544 0.000" Properties=species:S:1:pos:R:3 pbc="T T T"
Cd 0.886 0.886 0.886
Cd 6.202 6.202 6.202
Ni 3.544 1.772 1.772
Ni 1.772 3.544 1.772
Ni 1.772 1.772 3.544
Ni 3.544 3.544 3.544
H 2.658 2.658 2.658
H 4.430 4.430 4.430
```



# 2
Here is a PBEsol-optimized structure of CdNiH2 from Alexandria. Energies are from SCAN.

## Properties
Total moment = 0.0 μB per cell
Uncorrected energy = -13.23 eV/atom
Calculated density = 7.65 g/cm3

The structure in extended XYZ format:
```
8
Lattice="-2.108 2.108 4.228 2.108 -2.108 4.228 2.108 2.108 -4.228" Properties=species:S:1:pos:R:3 pbc="T T T"
Cd 0.000 0.000 0.000
Cd 0.000 2.108 2.114
Ni 2.108 0.000 2.114
Ni 0.000 0.000 4.228
H 1.054 -0.583 3.171
H 1.525 1.054 1.057
H 1.054 2.691 -1.057
H 0.583 1.054 5.285
```



# 3
Here is a PBEsol-optimized structure of CdH2O2 from Alexandria. Energies are from SCAN.

## Properties
Total moment = 0.0 μB per cell
Excess energy over the best structure of this formula in the dataset = 0.0 meV/atom
Calculated density = 4.97 g/cm3

The structure in extended XYZ format:
```
10
Lattice="3.286 -5.021 0.000 3.286 5.021 0.000 -1.709 0.000 2.968" Properties=species:S:1:pos:R:3 pbc="T T T"
Cd 3.286 3.452 0.000
Cd 3.286 -3.452 0.000
H 0.462 0.000 2.869
H 2.506 1.331 1.484
H 2.506 -1.331 1.484
H 4.384 0.000 0.678
O 1.688 0.000 0.756
O 2.989 2.154 1.812
O 2.989 -2.154 1.812
O 5.238 0.000 1.158
```